DFT (PBE) results for CdIrPb2O8 after structural relaxation.

a b c (Å): 4.859 6.907 4.970
angles (deg): 90.00 90.44 90.00
Atoms (fractional coordinates):
Cd1 0.000 0.000 0.000
Ir1 0.000 0.500 0.000
Pb1 0.500 0.250 0.500
Pb2 0.500 0.750 0.500
O1 0.207 0.290 0.839
O2 0.207 0.710 0.839
O3 0.254 0.500 0.304
O4 0.288 0.000 0.328
O5 0.712 0.000 0.672
O6 0.746 0.500 0.696
O7 0.793 0.290 0.161
O8 0.793 0.710 0.161

Properties
* uncorrected energy: -65.7 eV for the cell shown
* energy relative to the elements, uncorrected: -0.74 eV/atom